1.
Entry from the Alexandria database: a geometry-optimized SrTiSn3 structure (PBE).

## Properties
Energy of formation = -0.27 eV per atom
SG = Pm-3m (221)
Spin magnetization = 0.00 μB/cell
DFT total energy = -0.169 Ha/atom
N(E_F) = 2.71 states/eV per cell

Unit cell a=5.3239 b=5.3239 c=5.3239 alpha=90.00 beta=90.00 gamma=90.00
Element x y z (fractional)
Sr 0.0000 0.0000 0.0000
Ti 0.5000 0.5000 0.5000
Sn 0.0000 0.5000 0.5000
Sn 0.5000 0.0000 0.5000
Sn 0.5000 0.5000 0.0000

***

2.
Entry from the Alexandria database: a geometry-optimized Sc2TaBAs structure (PBE).

## Properties
Energy of formation = 0.90 eV per atom
SG = P4/mmm (123)
Spin magnetization = 0.93 μB/cell
DFT total energy = -0.231 Ha/atom
N(E_F) = 4.03 states/eV per cell

Unit cell a=4.8841 b=4.8841 c=4.7383 alpha=90.00 beta=90.00 gamma=90.00
Element x y z (fractional)
Sc 0.0000 0.5000 0.0000
Sc 0.5000 0.0000 0.0000
Ta 0.0000 0.0000 0.5000
B 0.5000 0.5000 0.5000
As 0.0000 0.0000 0.0000